A relaxed Tb2ScCd crystal, computed with GGA-PBE.

a b c (Å): 3.3870 3.3870 11.9898
angles (deg): 81.88 81.88 60.00
With the nearest neighbours (Å) after each atom.
Atoms (fractional coordinates):
Tb (0.0911, 0.0911, 0.7268)  1 Cd 3.23, 3 Sc 3.32, 6 Tb 3.39
Tb (0.9089, 0.9089, 0.2732)  1 Cd 3.23, 3 Sc 3.32, 6 Tb 3.39
Sc (0.5000, 0.5000, 0.5000)  6 Tb 3.32, 6 Sc 3.39
Cd (0.0000, 0.0000, 0.0000)  2 Tb 3.23, 6 Cd 3.39

* calculated volume: 117.53 Å³ per cell
* ΔH_f (0 K): 0.15 eV per atom
* distance to the lowest polymorph of the same formula: 0.2793 eV per atom
* DOS at the Fermi energy: 2.9 states/eV/f.u.

***

A relaxed Tb4ScCd3 crystal, computed with GGA-PBE.

a b c (Å): 3.7437 5.3260 10.8130
angles (deg): 90.00 90.00 90.00
With the nearest neighbours (Å) after each atom.
Atoms (fractional coordinates):
Cd (0.5000, 0.0000, 0.7559)  8 Tb 3.24-3.34
Cd (0.5000, 0.5000, 0.5000)  8 Tb 3.24-3.26
Cd (0.5000, 0.0000, 0.2441)  8 Tb 3.24-3.34
Tb (0.0000, 0.5000, 0.2557)  6 Cd 3.24-3.26, 2 Sc 3.34
Tb (0.0000, 0.5000, 0.7443)  6 Cd 3.24-3.26, 2 Sc 3.34
Tb (0.0000, 0.0000, 0.5000)  8 Cd 3.26-3.34
Tb (0.0000, 0.0000, 0.0000)  4 Cd 3.24, 4 Sc 3.26
Sc (0.5000, 0.5000, 0.0000)  8 Tb 3.26-3.34

* calculated volume: 215.60 Å³ per cell
* ΔH_f (0 K): -0.20 eV per atom
* DOS at the Fermi energy: 12.2 states/eV/f.u.

***

A relaxed TbSc2Cd crystal, computed with GGA-PBE.

a b c (Å): 3.5925 5.2120 6.3039
angles (deg): 114.34 106.56 90.00
With the nearest neighbours (Å) after each atom.
Atoms (fractional coordinates):
Tb (0.0000, 0.5000, 0.0000)  4 Cd 3.17, 4 Sc 3.49
Cd (0.5000, 0.0000, 0.0000)  4 Sc 3.05, 4 Tb 3.17
Sc (0.2261, 0.2261, 0.4522)  2 Cd 3.05, 4 Sc 3.21
Sc (0.7739, 0.7739, 0.5478)  2 Cd 3.05, 4 Sc 3.21

* calculated volume: 102.15 Å³ per cell
* ΔH_f (0 K): -0.12 eV per atom
* distance to the lowest polymorph of the same formula: 0.0000 eV per atom
* DOS at the Fermi energy: 5.2 states/eV/f.u.

***

A relaxed TbSc2Cd5 crystal, computed with GGA-PBE.

a b c (Å): 5.0193 5.0193 8.0635
angles (deg): 108.13 108.13 90.00
With the nearest neighbours (Å) after each atom.
Atoms (fractional coordinates):
Cd (0.3705, 0.8705, 0.7410)  4 Sc 2.98-3.14, 2 Tb 3.13, 2 Cd 3.13
Cd (0.1295, 0.6295, 0.2590)  4 Sc 2.98-3.14, 2 Cd 3.13, 2 Tb 3.13
Cd (0.6295, 0.1295, 0.2590)  4 Sc 2.98-3.14, 2 Tb 3.13, 2 Cd 3.13
Cd (0.5000, 0.5000, 0.0000)  8 Cd 3.13, 2 Sc 3.48
Cd (0.8705, 0.3705, 0.7410)  4 Sc 2.98-3.14, 2 Cd 3.13, 2 Tb 3.13
Sc (0.2597, 0.2597, 0.5193)  8 Cd 2.98-3.14
Sc (0.7403, 0.7403, 0.4807)  8 Cd 2.98-3.14
Tb (0.0000, 0.0000, 0.0000)  8 Cd 3.13

* calculated volume: 182.41 Å³ per cell
* ΔH_f (0 K): -0.28 eV per atom
* DOS at the Fermi energy: 4.5 states/eV/f.u.